(1)
Here is SrPd4 after structural relaxation from the Alexandria database. Energies are from PBE-GGA.

Cell lengths 5.0809, 5.0809, 5.0809 Å; angles 90.00, 90.00, 90.00 degrees
Space group Pm-3m (No. 221)
One atom of each set of equivalent atoms:
Sr1 0.0000 0.0000 0.0000 (multiplicity 1)
Pd1 0.0000 0.0000 0.5000 (multiplicity 3)
Pd2 0.5000 0.5000 0.5000 (multiplicity 1)

Computed properties:
- Energy of formation from the pure elements: 1132 meV per atom



(2)
Here is MgTlIn2 after structural relaxation from the Alexandria database. Energies are from PBE-GGA.

Cell lengths 4.6315, 4.6315, 9.7623 Å; angles 90.00, 90.00, 90.00 degrees
Space group I-4m2 (No. 119)
One atom of each set of equivalent atoms:
Mg1 0.0000 0.0000 0.0000 (multiplicity 2)
Tl1 0.0000 0.5000 0.7500 (multiplicity 2)
In1 0.0000 0.0000 0.5000 (multiplicity 2)
In2 0.0000 0.5000 0.2500 (multiplicity 2)

Computed properties:
- Energy of formation from the pure elements: 0 meV per atom